A plane-wave DFT calculation with PBE was carried out for CePmSmPa after structural relaxation.

**Calculated volume**: 30.6 Å³/atom
**Formation energy from the elements**: 403.4 meV per atom
**Total magnetic moment**: 3.610 μB/f.u.

Lattice parameters (Å, degrees): 7.8809 7.8809 7.8809 90.00 90.00 90.00
Space group F-43m (No. 216)
Unique sites:
Ce (0.0000, 0.0000, 0.0000)
Pm (0.0000, 0.0000, 0.5000)
Sm (0.2500, 0.2500, 0.7500)
Pa (0.2500, 0.2500, 0.2500)